(1)
This record from Alexandria via LeMat-Bulk describes NaNiN2F after structural relaxation. The functional is PBE with a Hubbard U.

ρ ... 3.18 g/cm³
E above lowest polymorph ... 0.000 eV per atom
Calculated total energy ... -0.30148 Ry/atom

Cell: 3.4727 3.4727 5.5749 Å, 90.00 90.00 90.00°
Fractional positions:
Na 0.0000 0.0000 0.0000
Ni 0.5000 0.5000 0.5000
N 0.0000 0.5000 0.5000
N 0.5000 0.0000 0.5000
F 0.5000 0.5000 0.0000

(2)
This record from Alexandria via LeMat-Bulk describes LaCoPO2 after structural relaxation. The functional is PBE with a Hubbard U.

ρ ... 5.96 g/cm³
E above lowest polymorph ... 0.000 eV per atom
Calculated total energy ... -0.45461 Ry/atom

Cell: 4.0762 4.0762 4.3764 Å, 90.00 90.00 90.00°
Fractional positions:
La 0.0000 0.0000 0.0000
Co 0.5000 0.5000 0.5000
P 0.5000 0.5000 0.0000
O 0.0000 0.5000 0.5000
O 0.5000 0.0000 0.5000